A relaxed Al2Mo crystal, computed with GGA-PBE.

abc: 6.5531 6.5531 6.5531
angles: 155.86 155.86 34.40
Fractional coordinates of all 3 atoms:
Al: 0.1631 0.1631 0.0000
Al: 0.8369 0.8369 0.0000
Mo: 0.5000 0.5000 0.0000

Formation enthalpy at 0 K, eV/atom: -0.040
DOS at the Fermi energy, states/eV per cell: 1.6
Mass density, g/cm3: 5.295
Total magnetization, μB/f.u.: 0.0
Space group: I4/mmm (139)

***

A relaxed NiAg2P crystal, computed with GGA-PBE.

abc: 6.9449 6.9449 6.9449
angles: 156.40 150.72 37.95
Fractional coordinates of all 4 atoms:
Ni: 0.0000 0.0000 0.0000
Ag: 0.1791 0.6791 0.5000
Ag: 0.8209 0.3209 0.5000
P: 0.5000 0.5000 0.0000

Formation enthalpy at 0 K, eV/atom: 0.061
DOS at the Fermi energy, states/eV per cell: 1.9
Mass density, g/cm3: 7.742
Total magnetization, μB/f.u.: 0.0
Space group: Immm (71)

***

A relaxed Pm5Sn2Se2 crystal, computed with GGA-PBE.

abc: 10.6217 10.6217 10.6217
angles: 63.82 128.97 144.31
Fractional coordinates of all 18 atoms:
Pm: 0.1880 0.0001 0.6879
Pm: 0.2499 0.0456 0.2955
Pm: 0.2499 0.4544 0.7043
Pm: 0.3123 0.5001 0.3121
Pm: 0.6238 0.1046 0.2279
Pm: 0.6238 0.8958 0.0191
Pm: 0.7501 0.5456 0.2957
Pm: 0.7501 0.9544 0.7045
Pm: 0.8767 0.3958 0.7721
Pm: 0.8767 0.6046 0.9809
Sn: 0.1918 0.3403 0.0313
Sn: 0.1918 0.6605 0.3515
Sn: 0.3090 0.1605 0.9687
Sn: 0.3090 0.8403 0.6485
Se: 0.6304 0.5024 0.6280
Se: 0.7500 0.2500 0.5000
Se: 0.7500 0.7500 0.0000
Se: 0.8743 0.0024 0.3720

DOS at the Fermi energy, states/eV per cell: 14.4
Mass density, g/cm3: 6.928
Total DFT energy (no corrections), eV per atom: -5.320
Total magnetization, μB/f.u.: 0.0
Space group: Ima2 (46)

***

A relaxed Cr2OsAu crystal, computed with GGA-PBE.

abc: 8.9512 8.9512 8.9512
angles: 17.65 17.65 17.65
Fractional coordinates of all 4 atoms:
Cr: 0.0000 0.0000 0.0000
Cr: 0.2598 0.2598 0.2598
Os: 0.7421 0.7421 0.7421
Au: 0.5051 0.5051 0.5051

Formation enthalpy at 0 K, eV/atom: 0.358
DOS at the Fermi energy, states/eV per cell: 4.8
Mass density, g/cm3: 14.176
Total magnetization, μB/f.u.: 2.2
Space group: R3m (160)

***

A relaxed TcHRu2Au crystal, computed with GGA-PBE.

abc: 3.9712 3.9712 3.9215
angles: 90.00 90.00 90.00
Fractional coordinates of all 5 atoms:
Tc: 0.0000 0.0000 0.0000
H: 0.0000 0.0000 0.5000
Ru: 0.0000 0.5000 0.5000
Ru: 0.5000 0.0000 0.5000
Au: 0.5000 0.5000 0.0000

DOS at the Fermi energy, states/eV per cell: 6.8
Mass density, g/cm3: 13.375
Total DFT energy (no corrections), eV per atom: -6.800
Total magnetization, μB/f.u.: 0.0
Space group: P4/mmm (123)

***

A relaxed Pm3HoTl2 crystal, computed with GGA-PBE.

abc: 8.5758 8.5758 10.2869
angles: 117.31 117.31 34.20
Fractional coordinates of all 12 atoms:
Pm: 0.0419 0.0419 0.3610
Pm: 0.2890 0.2890 0.6207
Pm: 0.3667 0.3667 0.3294
Pm: 0.6333 0.6333 0.6706
Pm: 0.7110 0.7110 0.3793
Pm: 0.9581 0.9581 0.6390
Ho: 0.1181 0.1181 0.0680
Ho: 0.8819 0.8819 0.9320
Tl: 0.2411 0.2411 0.8973
Tl: 0.4882 0.4882 0.1394
Tl: 0.5118 0.5118 0.8606
Tl: 0.7589 0.7589 0.1027

Formation enthalpy at 0 K, eV/atom: -0.176
Energy relative to the lowest polymorph listed for this composition, meV/atom: 94
DOS at the Fermi energy, states/eV per cell: 12.1
Mass density, g/cm3: 8.980
Total magnetization, μB/f.u.: 0.0
Space group: C2/m (12)

***

mass density of number 6 (Pm3HoTl2)? 8.980 g/cm3

***

What did the fourth record say?
A relaxed Cr2OsAu crystal, computed with GGA-PBE.

abc: 8.9512 8.9512 8.9512
angles: 17.65 17.65 17.65
Fractional coordinates of all 4 atoms:
Cr: 0.0000 0.0000 0.0000
Cr: 0.2598 0.2598 0.2598
Os: 0.7421 0.7421 0.7421
Au: 0.5051 0.5051 0.5051

Formation enthalpy at 0 K, eV/atom: 0.358
DOS at the Fermi energy, states/eV per cell: 4.8
Mass density, g/cm3: 14.176
Total magnetization, μB/f.u.: 2.2
Space group: R3m (160)

***

What is the formula in the third record? Pm5Sn2Se2